Below is a relaxed Sr2HfIn2 crystal, with properties calculated at the PBE-GGA level.

Unit cell a=7.8155 b=7.8155 c=5.3225 alpha=90.00 beta=90.00 gamma=90.00
Space group P4/mbm (No. 127)
Asymmetric unit:
Sr: 0.1728 0.3272 0.0000 (multiplicity 4)
Hf: 0.0000 0.0000 0.5000 (multiplicity 2)
In: 0.1387 0.6387 0.5000 (multiplicity 4)

The density of states at the Fermi level is 16.98 states/eV/cell. For the magnetization, the calculation gives 1.67 μB per cell. The calculated total energy is -3.7549 eV per atom.